DFT (PBE) results for Tm4Nb6O19 after structural relaxation.

Cell: 9.0728 9.0728 9.0728 Å, 90.00 90.00 90.00°
With the nearest neighbours (Å) after each atom.
Space group I23 (No. 197)
Unique sites:
Tm  0.1428  0.1428  0.1428 (multiplicity 8)  7 O 2.22-2.48
Nb  0.0000  0.1541  0.5000 (multiplicity 12)  6 O 1.99-2.11
O  0.0000  0.0000  0.0000 (multiplicity 2)  4 Tm 2.24
O  0.0000  0.0000  0.3271 (multiplicity 12)  2 Nb 2.10
O  0.0473  0.2874  0.3159 (multiplicity 24)  2 Nb 1.99-2.11, 1 Tm 2.22

Summary:
density of states at the Fermi level: 14.669 states/eV per cell
uncorrected formation energy: -2.823 eV per atom
final energy: -8.77 eV per atom